Entry 1:
! Tl2PCl (GGA-PBE, optimized geometry); values from VASP
&SYSTEM
  ibrav = 0, nat = 4, ntyp = 3
/
ATOMIC_SPECIES
Tl 204.38 Tl.upf
P 30.97 P.upf
Cl 35.45 Cl.upf
CELL_PARAMETERS angstrom
5.414 0.000 0.000
0.000 5.414 0.000
0.000 0.000 3.431
ATOMIC_POSITIONS crystal
Tl 0.000 0.500 0.000
Tl 0.500 0.000 0.000
P 0.000 0.000 0.500
Cl 0.500 0.500 0.500
! E above lowest polymorph ... 115.7 meV/atom
! ΔE_f (raw) ... -0.094 eV/atom

***

Entry 2:
! Sm2SnPb (GGA-PBE, optimized geometry); values from VASP
&SYSTEM
  ibrav = 0, nat = 12, ntyp = 3
/
ATOMIC_SPECIES
Sm 150.36 Sm.upf
Sn 118.71 Sn.upf
Pb 207.20 Pb.upf
CELL_PARAMETERS angstrom
4.132 0.000 0.000
-2.066 3.579 0.000
0.000 0.000 25.781
ATOMIC_POSITIONS crystal
Sm 0.000 0.000 0.247
Sm 0.000 0.000 0.753
Sm 0.333 0.667 0.419
Sm 0.333 0.667 0.914
Sm 0.667 0.333 0.086
Sm 0.667 0.333 0.581
Sn 0.000 0.000 0.500
Sn 0.333 0.667 0.167
Sn 0.667 0.333 0.833
Pb 0.000 0.000 0.000
Pb 0.333 0.667 0.667
Pb 0.667 0.333 0.333
! E above lowest polymorph ... 178.2 meV/atom
! DFT formation energy ... -477 meV/atom

***

Entry 3:
! SrGa2Ir2 (GGA-PBE, optimized geometry); values from VASP
&SYSTEM
  ibrav = 0, nat = 10, ntyp = 3
/
ATOMIC_SPECIES
Sr 87.62 Sr.upf
Ga 69.72 Ga.upf
Ir 192.22 Ir.upf
CELL_PARAMETERS angstrom
7.727 0.000 0.000
0.000 7.727 0.000
0.000 0.000 2.930
ATOMIC_POSITIONS crystal
Sr 0.000 0.000 0.000
Sr 0.500 0.500 0.000
Ga 0.127 0.373 0.000
Ga 0.373 0.873 0.000
Ga 0.627 0.127 0.000
Ga 0.873 0.627 0.000
Ir 0.165 0.665 0.500
Ir 0.335 0.165 0.500
Ir 0.665 0.835 0.500
Ir 0.835 0.335 0.500
! DFT formation energy ... -376 meV/atom

***

Entry 4:
! Ce4Sb2PSe (GGA-PBE, optimized geometry); values from VASP
&SYSTEM
  ibrav = 0, nat = 8, ntyp = 4
/
ATOMIC_SPECIES
Ce 140.12 Ce.upf
Sb 121.76 Sb.upf
P 30.97 P.upf
Se 78.96 Se.upf
CELL_PARAMETERS angstrom
7.458 0.000 0.000
0.000 4.301 0.000
-2.479 0.000 7.117
ATOMIC_POSITIONS crystal
Ce 0.235 0.000 0.226
Ce 0.250 0.500 0.770
Ce 0.750 0.500 0.230
Ce 0.765 0.000 0.774
Sb 0.000 0.000 0.500
Sb 0.500 0.500 0.500
P 0.000 0.500 0.000
Se 0.500 0.000 0.000
! ΔE_f (raw) ... -1.337 eV/atom

***

Entry 5:
! YTl2Ga (GGA-PBE, optimized geometry); values from VASP
&SYSTEM
  ibrav = 0, nat = 16, ntyp = 3
/
ATOMIC_SPECIES
Y 88.91 Y.upf
Tl 204.38 Tl.upf
Ga 69.72 Ga.upf
CELL_PARAMETERS angstrom
8.225 0.000 0.000
0.000 8.225 0.000
0.000 0.000 6.270
ATOMIC_POSITIONS crystal
Y 0.000 0.000 0.000
Y 0.000 0.500 0.250
Y 0.500 0.000 0.750
Y 0.500 0.500 0.500
Tl 0.213 0.250 0.625
Tl 0.250 0.713 0.875
Tl 0.250 0.787 0.375
Tl 0.287 0.250 0.125
Tl 0.713 0.750 0.125
Tl 0.750 0.213 0.375
Tl 0.750 0.287 0.875
Tl 0.787 0.750 0.625
Ga 0.000 0.000 0.500
Ga 0.000 0.500 0.750
Ga 0.500 0.000 0.250
Ga 0.500 0.500 0.000
! E above lowest polymorph ... 167.5 meV/atom
! DFT formation energy ... -123 meV/atom

***

Entry 6:
! Cs6HAuBr2 (GGA-PBE, optimized geometry); values from VASP
&SYSTEM
  ibrav = 0, nat = 10, ntyp = 4
/
ATOMIC_SPECIES
Cs 132.91 Cs.upf
H 1.01 H.upf
Au 196.97 Au.upf
Br 79.90 Br.upf
CELL_PARAMETERS angstrom
4.373 2.525 8.542
-4.373 2.525 8.542
0.000 -5.049 8.542
ATOMIC_POSITIONS crystal
Cs 0.005 0.689 0.306
Cs 0.160 0.527 0.832
Cs 0.306 0.005 0.689
Cs 0.527 0.832 0.160
Cs 0.689 0.306 0.005
Cs 0.832 0.160 0.527
H 0.920 0.920 0.920
Au 0.417 0.417 0.417
Br 0.095 0.095 0.095
Br 0.591 0.591 0.591
! Energy ... -2.260 eV/atom